# 1
Entry from Alexandria: a relaxed structure of TaMnS2 (PBE).

Cell: 8.029 8.029 8.029 Å, 22.09 22.09 22.09°
Last column: magnetic moment on the atom in μB.
Atoms (fractional coordinates):
S (0.105, 0.105, 0.105)  -0.01
Mn (0.500, 0.500, 0.500)  2.03
S (0.895, 0.895, 0.895)  -0.01
Ta (0.000, 0.000, 0.000)  -0.11

Summary:
Its magnetization is 1.88 μB/f.u. The calculation puts the total energy at -7.520 eV per atom. As for the space-group type: R-3m, No. 166. The value obtained for the relative energy among the computed polymorphs is 109 meV per atom. For the energy relative to the elements, uncorrected, the calculation gives -0.20 eV per atom. The theoretical density is 7.8 Mg/m³.

# 2
Entry from Alexandria: a relaxed structure of YOsI2N (PBE).

Cell: 5.668 5.668 3.753 Å, 90.00 90.00 90.00°
Atoms (fractional coordinates):
I (0.500, 0.000, 0.000)
Os (0.000, 0.000, 0.000)
Y (0.500, 0.500, 0.500)
I (0.000, 0.500, 0.000)
N (0.000, 0.000, 0.500)

Summary:
Its magnetization is 0.00 μB/f.u. The calculation puts the total energy at -5.671 eV per atom. As for the space-group type: P4/mmm, No. 123. The value obtained for the relative energy among the computed polymorphs is 0 meV per atom. For the energy relative to the elements, uncorrected, the calculation gives 0.15 eV per atom. The theoretical density is 7.5 Mg/m³.

# 3
Entry from Alexandria: a relaxed structure of La6Pm2Pb (PBE).

Cell: 9.648 9.648 9.265 Å, 58.34 58.34 76.95°
Atoms (fractional coordinates):
La (0.068, 0.714, 0.031)
La (0.499, 0.183, 0.930)
La (0.817, 0.501, 0.570)
La (0.282, 0.101, 0.741)
La (0.286, 0.932, 0.469)
La (0.101, 0.282, 0.241)
Pb (0.082, 0.918, 0.250)
La (0.501, 0.817, 0.070)
Pb (0.918, 0.082, 0.750)
La (0.932, 0.286, 0.969)
Pm (0.319, 0.517, 0.684)
La (0.718, 0.899, 0.259)
Pm (0.483, 0.681, 0.816)
La (0.183, 0.499, 0.430)
Pm (0.517, 0.319, 0.184)
La (0.899, 0.718, 0.759)
Pm (0.681, 0.483, 0.316)
La (0.714, 0.068, 0.531)

Summary:
Its magnetization is 0.00 μB/f.u. The calculation puts the total energy at -4.843 eV per atom. As for the space-group type: C2/c, No. 15. The value obtained for the formation energy is -0.090 eV per atom. The theoretical density is 7.1 Mg/m³.